(1)
Computed, not measured: BaCaTlPt2 after structural relaxation at the PBE level of DFT.

Cell lengths 5.314, 5.314, 5.794 Å; angles 90.00, 90.00, 90.00 degrees
Space group P4/mmm (No. 123)
Inequivalent atoms, fractional coordinates:
Ba: 0.000 0.000 0.000 x1
Ca: 0.500 0.500 0.000 x1
Tl: 0.000 0.000 0.500 x1
Pt: 0.000 0.500 0.500 x2

Properties
* formation energy from the elements: 8.8 kcal/mol of atoms
* final energy: -3.29 eV per atom

***

(2)
Computed, not measured: Ba2CaTlPt after structural relaxation at the PBE level of DFT.

Cell lengths 6.166, 6.166, 5.580 Å; angles 90.00, 90.00, 90.00 degrees
Space group P4/mmm (No. 123)
Inequivalent atoms, fractional coordinates:
Ba: 0.000 0.500 0.000 x2
Ca: 0.000 0.000 0.500 x1
Tl: 0.500 0.500 0.500 x1
Pt: 0.000 0.000 0.000 x1

Properties
* formation energy from the elements: -10.5 kcal/mol of atoms
* final energy: -3.30 eV per atom

***

(3)
Computed, not measured: BaCaVPt2 after structural relaxation at the PBE level of DFT.

Cell lengths 5.334, 5.334, 5.494 Å; angles 90.00, 90.00, 90.00 degrees
Space group P4/mmm (No. 123)
Inequivalent atoms, fractional coordinates:
Ba: 0.000 0.000 0.000 x1
Ca: 0.000 0.000 0.500 x1
V: 0.500 0.500 0.500 x1
Pt: 0.000 0.500 0.000 x2

Properties
* formation energy from the elements: 39.8 kcal/mol of atoms
* final energy: -3.30 eV per atom

***

| no. | magnetization (μB/f.u.) |
| --- | --- |
| 1 | 0.0 |
| 2 | 0.0 |
| 3 | 0.1 |